SmNpPt2: relaxed, GGA-PBE.

Summary:
ΔE to the lowest computed polymorph	30	meV per atom
calculated total energy	-32.563	eV per formula unit
calculated volume	22.1	A^3/atom

Cell lengths 4.9970, 4.9970, 4.9970 Å; angles 60.00, 60.00, 60.00 degrees
Atoms (fractional coordinates):
Sm: 0.0000 0.0000 0.0000
Np: 0.5000 0.5000 0.5000
Pt: 0.2500 0.2500 0.2500
Pt: 0.7500 0.7500 0.7500